Entry from the Alexandria database: an optimized crystal structure of Ce2YZrAs4 (GGA-PBE).

The space group is P2/m (No. 10) and the conventional cell measures 7.0971, 4.0953 and 7.1000 Å, with angles of 90.00, 109.39 and 90.00 degrees. Symmetry generates all atoms from Ce at (0.0000, 0.0000, 0.0000), Ce at (0.0000, 0.5000, 0.5000), Y at (0.5000, 0.0000, 0.5000), Zr at (0.5000, 0.5000, 0.0000), As at (0.2604, 0.5000, 0.2457) and As at (0.2650, 0.0000, 0.7621).

For the total magnetic moment, the calculation gives 0.158 μB/atom. As for the energy: -56.6 eV for the cell shown. For the volume, the calculation gives 194.7 Å³ per cell.

---

Entry from the Alexandria database: an optimized crystal structure of CeZnAs (GGA-PBE).

The space group is P4/nmm (No. 129, origin choice 2) and the conventional cell measures 4.1366, 4.1366 and 8.6088 Å, with angles of 90.00, 90.00 and 90.00 degrees. Symmetry generates all atoms from Ce at (0.2500, 0.2500, 0.1825), Zn at (0.2500, 0.2500, 0.5459) and As at (0.2500, 0.2500, 0.8404).

For the total magnetic moment, the calculation gives 0.247 μB/atom. As for the energy: -28.1 eV for the cell shown. For the volume, the calculation gives 147.3 Å³ per cell.

---

Entry from the Alexandria database: an optimized crystal structure of Ce2ZnAs (GGA-PBE).

The space group is P4/mmm (No. 123) and the conventional cell measures 3.7579, 3.7579 and 6.6993 Å, with angles of 90.00, 90.00 and 90.00 degrees. Symmetry generates all atoms from Ce at (0.0000, 0.0000, 0.2355), Zn at (0.5000, 0.5000, 0.5000) and As at (0.5000, 0.5000, 0.0000).

For the total magnetic moment, the calculation gives 0.367 μB/atom. For the volume, the calculation gives 94.6 Å³ per cell. The calculation puts the polymorph energy (0 for the lowest one) at 0 meV per atom.

---

Entry from the Alexandria database: an optimized crystal structure of CeZn8As6 (GGA-PBE).

The space group is P6_3cm (No. 185) and the conventional cell measures 7.5628, 7.5628 and 13.5092 Å, with angles of 90.00, 90.00 and 120.00 degrees. Symmetry generates all atoms from Ce at (0.0000, 0.0000, 0.0000), Zn at (0.0000, 0.3170, 0.3036), Zn at (0.0000, 0.3578, 0.6696), Zn at (0.3333, 0.6667, 0.4366), As at (0.0000, 0.0000, 0.2315), As at (0.0000, 0.3802, 0.4864) and As at (0.3333, 0.6667, 0.2414).

For the total magnetic moment, the calculation gives 0.064 μB/atom. As for the energy: -93.5 eV for the cell shown. For the volume, the calculation gives 669.2 Å³ per cell.

---

Entry from the Alexandria database: an optimized crystal structure of Ce4ZnAs5 (GGA-PBE).

The space group is R-3m (No. 166, hexagonal axes) and the conventional cell measures 4.2211, 4.2211 and 48.4370 Å, with angles of 90.00, 90.00 and 120.00 degrees. Symmetry generates all atoms from Ce at (0.0000, 0.0000, 0.1070), Ce at (0.0000, 0.0000, 0.2979), Zn at (0.0000, 0.0000, 0.5000), As at (0.0000, 0.0000, 0.0000), As at (0.0000, 0.0000, 0.1941) and As at (0.0000, 0.0000, 0.4046).

For the total magnetic moment, the calculation gives 0.239 μB/atom. As for the energy: -177.6 eV for the cell shown. For the volume, the calculation gives 747.4 Å³ per cell.

---

Entry from the Alexandria database: an optimized crystal structure of Ce2ZnAs (GGA-PBE).

The space group is R3m (No. 160, hexagonal axes) and the conventional cell measures 4.0360, 4.0360 and 23.3575 Å, with angles of 90.00, 90.00 and 120.00 degrees. Symmetry generates all atoms from Ce at (0.0000, 0.0000, 0.0000), Ce at (0.0000, 0.0000, 0.1830), Zn at (0.0000, 0.0000, 0.7584) and As at (0.0000, 0.0000, 0.5911).

For the total magnetic moment, the calculation gives 0.445 μB/atom. For the volume, the calculation gives 329.5 Å³ per cell. The calculation puts the polymorph energy (0 for the lowest one) at 66 meV per atom.

---

Entry from the Alexandria database: an optimized crystal structure of Ce2ZnAs (GGA-PBE).

The space group is R-3m (No. 166, hexagonal axes) and the conventional cell measures 3.8754, 3.8754 and 29.9210 Å, with angles of 90.00, 90.00 and 120.00 degrees. Symmetry generates all atoms from Ce at (0.0000, 0.0000, 0.1064), Zn at (0.0000, 0.0000, 0.0000) and As at (0.0000, 0.0000, 0.5000).

For the total magnetic moment, the calculation gives 0.757 μB/atom. For the volume, the calculation gives 389.2 Å³ per cell. The calculation puts the polymorph energy (0 for the lowest one) at 430 meV per atom.

---

Entry from the Alexandria database: an optimized crystal structure of Ce2ZnAs4 (GGA-PBE).

The space group is P-4m2 (No. 115) and the conventional cell measures 4.0079, 4.0079 and 9.8403 Å, with angles of 90.00, 90.00 and 90.00 degrees. Symmetry generates all atoms from Ce at (0.0000, 0.5000, 0.2372), Zn at (0.0000, 0.0000, 0.5000), As at (0.0000, 0.0000, 0.0000), As at (0.0000, 0.5000, 0.6584) and As at (0.5000, 0.5000, 0.0000).

For the total magnetic moment, the calculation gives 0.174 μB/atom. As for the energy: -38.0 eV for the cell shown. For the volume, the calculation gives 158.1 Å³ per cell.

---

Entry from the Alexandria database: an optimized crystal structure of CeZr3As4 (GGA-PBE).

The space group is P6_3/mmc (No. 194) and the conventional cell measures 3.9208, 3.9208 and 26.2411 Å, with angles of 90.00, 90.00 and 120.00 degrees. Symmetry generates all atoms from Ce at (0.3333, 0.6667, 0.2500), Zr at (0.0000, 0.0000, 0.0000), Zr at (0.3333, 0.6667, 0.6191), As at (0.0000, 0.0000, 0.1784) and As at (0.3333, 0.6667, 0.0592).

For the total magnetic moment, the calculation gives 0.098 μB/atom. As for the energy: -119.1 eV for the cell shown. For the volume, the calculation gives 349.4 Å³ per cell.

---

Entry from the Alexandria database: an optimized crystal structure of CeZr2As4 (GGA-PBE).

The space group is Cmcm (No. 63) and the conventional cell measures 3.9325, 12.6769 and 12.9356 Å, with angles of 90.00, 90.00 and 90.00 degrees. Symmetry generates all atoms from Ce at (0.0000, 0.1077, 0.2500), Zr at (0.0000, 0.3651, 0.0575), As at (0.0000, 0.0000, 0.0000), As at (0.0000, 0.2662, 0.6304) and As at (0.0000, 0.4395, 0.2500).

For the total magnetic moment, the calculation gives 0.000 μB/atom. As for the energy: -194.7 eV for the cell shown. For the volume, the calculation gives 644.9 Å³ per cell.

---

Entry from the Alexandria database: an optimized crystal structure of CeZrAs (GGA-PBE).

The space group is P-6m2 (No. 187) and the conventional cell measures 4.6548, 4.6548 and 3.8796 Å, with angles of 90.00, 90.00 and 120.00 degrees. Symmetry generates all atoms from Ce at (0.0000, 0.0000, 0.0000), Zr at (0.3333, 0.6667, 0.5000) and As at (0.6667, 0.3333, 0.5000).

For the total magnetic moment, the calculation gives 0.521 μB/atom. As for the energy: -20.7 eV for the cell shown. For the volume, the calculation gives 72.8 Å³ per cell.

---

Entry from the Alexandria database: an optimized crystal structure of Ce2ZrAs (GGA-PBE).

The space group is R-3m (No. 166, hexagonal axes) and the conventional cell measures 3.1753, 3.1753 and 32.8886 Å, with angles of 90.00, 90.00 and 120.00 degrees. Symmetry generates all atoms from Ce at (0.0000, 0.0000, 0.0920), Zr at (0.0000, 0.0000, 0.0000) and As at (0.0000, 0.0000, 0.5000).

For the total magnetic moment, the calculation gives 0.165 μB/atom. As for the energy: -75.6 eV for the cell shown. For the volume, the calculation gives 287.2 Å³ per cell.